Entry 1:
Density functional theory data (PBE-GGA) for RbCoTeN2 after structural relaxation.

* formation energy (no corrections): 13.04 eV/f.u.
* energy relative to the lowest polymorph listed for this composition: 128.3 kJ per mole of atoms

abc: 4.9730 4.9730 7.4080
angles: 90.00 90.00 90.00
Last column: nearest neighbours and their distance in Å.
Positions (direct):
Te  0.0000  0.0000  0.5000  4 Co 3.52, 2 Rb 3.70
Co  0.5000  0.5000  0.5000  4 Te 3.52
N  0.5000  0.0000  0.0000  2 Rb 2.49
N  0.0000  0.5000  0.0000  2 Rb 2.49
Rb  0.0000  0.0000  0.0000  4 N 2.49



Entry 2:
Density functional theory data (PBE-GGA) for LiCr2AuN after structural relaxation.

* formation energy (no corrections): -1.24 eV/f.u.

abc: 3.7598 3.7598 4.1890
angles: 90.00 90.00 90.00
Last column: nearest neighbours and their distance in Å.
Positions (direct):
Cr  0.5000  0.0000  0.0000  2 N 1.88
Cr  0.0000  0.5000  0.0000  2 N 1.88
N  0.0000  0.0000  0.0000  4 Cr 1.88, 2 Li 2.09
Au  0.5000  0.5000  0.5000  4 Li 2.66, 8 Cr 2.81
Li  0.0000  0.0000  0.5000  2 N 2.09



Entry 3:
Density functional theory data (PBE-GGA) for TlCo2Hg after structural relaxation.

* energy relative to the lowest polymorph listed for this composition: 24.4 kJ per mole of atoms

abc: 5.1647 5.1647 5.1647
angles: 135.43 135.43 64.87
Last column: nearest neighbours and their distance in Å.
Positions (direct):
Hg  0.5000  0.5000  0.0000  8 Co 2.77-2.93, 4 Tl 2.93
Tl  0.7500  0.2500  0.5000  8 Co 2.77-2.93, 4 Hg 2.93
Co  0.2500  0.7500  0.5000  4 Tl 2.77, 4 Co 2.93, 4 Hg 2.93
Co  0.0000  0.0000  0.0000  4 Hg 2.77, 4 Co 2.93, 4 Tl 2.93



Entry 4:
Density functional theory data (PBE-GGA) for LaCd4Au2 after structural relaxation.

* energy relative to the lowest polymorph listed for this composition: 0.0 kJ per mole of atoms

abc: 4.4205 8.6354 8.6354
angles: 90.00 90.00 90.00
Last column: nearest neighbours and their distance in Å.
Positions (direct):
Cd  0.0000  0.3459  0.0975  3 Au 2.81-2.90, 6 Cd 3.03-3.15
Cd  0.0000  0.6541  0.9025  3 Au 2.81-2.90, 6 Cd 3.03-3.15
Cd  0.5000  0.5975  0.1541  3 Au 2.81-2.90, 6 Cd 3.03-3.15
Cd  0.0000  0.9025  0.6541  3 Au 2.81-2.90, 6 Cd 3.03-3.15
Cd  0.0000  0.0975  0.3459  3 Au 2.81-2.90, 6 Cd 3.03-3.15
Cd  0.5000  0.4025  0.8459  3 Au 2.81-2.90, 6 Cd 3.03-3.15
Cd  0.5000  0.1541  0.5975  3 Au 2.81-2.90, 6 Cd 3.03-3.15
Cd  0.5000  0.8459  0.4025  3 Au 2.81-2.90, 6 Cd 3.03-3.15
Au  0.0000  0.8132  0.1868  6 Cd 2.81-2.90
Au  0.5000  0.6868  0.6868  6 Cd 2.81-2.90
Au  0.0000  0.1868  0.8132  6 Cd 2.81-2.90
Au  0.5000  0.3132  0.3132  6 Cd 2.81-2.90
La  0.0000  0.5000  0.5000  4 Au 3.18
La  0.5000  0.0000  0.0000  4 Au 3.18



Entry 5:
Density functional theory data (PBE-GGA) for Ti2As2Pd after structural relaxation.

* energy relative to the lowest polymorph listed for this composition: 0.0 kJ per mole of atoms

abc: 3.6868 6.0491 7.7205
angles: 90.00 103.81 90.00
Last column: nearest neighbours and their distance in Å.
Positions (direct):
As  0.4319  0.4885  0.8639  2 Pd 2.51-2.73, 6 Ti 2.57-2.66
As  0.5681  0.9885  0.1361  2 Pd 2.51-2.73, 6 Ti 2.57-2.66
As  0.8114  0.8724  0.6227  2 Pd 2.54, 4 Ti 2.59-2.70
As  0.1886  0.3724  0.3773  2 Pd 2.54, 4 Ti 2.59-2.70
Ti  0.9781  0.7615  0.9562  5 As 2.57-2.66
Ti  0.0219  0.2615  0.0438  5 As 2.57-2.66
Ti  0.1923  0.9262  0.3846  5 As 2.59-2.70
Ti  0.8077  0.4262  0.6154  5 As 2.59-2.70
Pd  0.3902  0.0859  0.7804  4 As 2.51-2.73
Pd  0.6098  0.5859  0.2196  4 As 2.51-2.73



Entry 6:
Density functional theory data (PBE-GGA) for Tm5B2Te2 after structural relaxation.

* formation energy (no corrections): -5.10 eV/f.u.

abc: 7.2805 7.3839 8.3217
angles: 90.00 64.06 90.00
Last column: nearest neighbours and their distance in Å.
Positions (direct):
B  0.9027  0.5938  0.0000  1 B 1.98
B  0.4027  0.9062  0.0000  1 B 1.98
B  0.0973  0.4062  0.0000  1 B 1.98
B  0.5973  0.0938  0.0000  1 B 1.98
Te  0.2922  0.5000  0.4157  7 Tm 3.05-3.16
Te  0.7078  0.5000  0.5843  7 Tm 3.05-3.16
Te  0.7922  0.0000  0.4157  7 Tm 3.05-3.16
Te  0.2078  0.0000  0.5843  7 Tm 3.05-3.16
Tm  0.0000  0.0000  0.0000  4 B 3.01-3.08, 2 Te 3.11, 8 Tm 3.23-3.24
Tm  0.7811  0.8307  0.7684  2 B 2.64-2.65
Tm  0.2811  0.6693  0.7684  2 B 2.64-2.65
Tm  0.5000  0.5000  0.0000  4 B 3.01-3.08, 2 Te 3.11, 8 Tm 3.23-3.24
Tm  0.9505  0.3307  0.7684  2 B 2.64-2.65
Tm  0.4505  0.1693  0.7684  2 B 2.64-2.65
Tm  0.2189  0.1693  0.2316  2 B 2.64-2.65
Tm  0.7189  0.3307  0.2316  2 B 2.64-2.65
Tm  0.5495  0.8307  0.2316  2 B 2.64-2.65
Tm  0.0495  0.6693  0.2316  2 B 2.64-2.65



Entry 7:
Density functional theory data (PBE-GGA) for PmH8IrPd2 after structural relaxation.

abc: 4.4798 4.5056 6.1432
angles: 70.10 71.85 76.69
Last column: nearest neighbours and their distance in Å.
Positions (direct):
H  0.1194  0.6824  0.2230  1 Ir 1.73, 1 Pd 1.89
H  0.6860  0.1298  0.2073  1 Ir 1.72, 1 Pd 1.84
H  0.6023  0.6874  0.4671  2 Pd 1.68-1.83
H  0.3977  0.3126  0.5329  2 Pd 1.68-1.83
H  0.7723  0.7833  0.9534  1 Ir 1.71
H  0.8806  0.3176  0.7770  1 Ir 1.73, 1 Pd 1.89
H  0.3140  0.8702  0.7927  1 Ir 1.72, 1 Pd 1.84
H  0.2277  0.2167  0.0466  1 Ir 1.71
Pd  0.5405  0.5289  0.2493  3 H 1.68-1.84
Pd  0.4595  0.4711  0.7507  3 H 1.68-1.84
Pm  0.0000  0.0000  0.5000  10 H 2.44-2.72
Ir  0.0000  0.0000  0.0000  6 H 1.71-1.73



Entry 8:
Density functional theory data (PBE-GGA) for Li2NiPb2 after structural relaxation.

abc: 5.2771 5.2771 5.2018
angles: 59.52 59.52 90.00
Last column: nearest neighbours and their distance in Å.
Positions (direct):
Li  0.6629  0.6629  0.6743  1 Li 2.36, 1 Ni 2.44
Li  0.3371  0.3371  0.3257  1 Li 2.36, 1 Ni 2.44
Pb  0.7500  0.2500  0.5000  4 Li 2.71
Pb  0.2500  0.7500  0.5000  4 Li 2.71
Ni  0.0000  0.0000  0.0000  2 Li 2.44



| no. | total energy (eV/cell) |
| --- | --- |
| 1 | -14.825 |
| 2 | -34.005 |
| 3 | -14.300 |
| 4 | -35.844 |
| 5 | -67.943 |
| 6 | -94.198 |
| 7 | -53.525 |
| 8 | -15.891 |